Density functional theory data (PBE with a Hubbard U) for CrInSnF6 after structural relaxation.

The space group is P1 (No. 1) and the conventional cell measures 5.209, 5.870 and 5.874 Å, with angles of 60.24, 90.00 and 89.86 degrees. Symmetry generates all atoms from Cr at (0.000, 0.000, 0.000), In at (0.460, 0.334, 0.333), Sn at (0.926, 0.667, 0.667), F at (0.200, 0.876, 0.330), F at (0.202, 0.328, 0.797), F at (0.202, 0.794, 0.876), F at (0.795, 0.212, 0.099), F at (0.797, 0.690, 0.208) and F at (0.799, 0.100, 0.688).

For the density of states at the Fermi level, the calculation gives 0.0 states/eV per cell. For the total energy, the calculation gives -46.6 eV/f.u.